Er4HgBiSe2: relaxed, PBE.

Lattice parameters (Å, degrees): 7.0036 4.1071 7.6678 90.00 108.02 90.00
Closest atoms and distances in Å follow each position.
Sites, in units of the cell vectors:
Er 0.2374 0.0000 0.2289  3 Se 2.87-2.91, 1 Hg 3.04, 2 Bi 3.09
Er 0.2494 0.5000 0.7697  3 Se 2.84-2.92, 2 Hg 3.05, 1 Bi 3.10
Er 0.7506 0.5000 0.2303  3 Se 2.84-2.92, 2 Hg 3.05, 1 Bi 3.10
Er 0.7626 0.0000 0.7711  3 Se 2.87-2.91, 1 Hg 3.04, 2 Bi 3.09
Hg 0.0000 0.0000 0.5000  6 Er 3.04-3.05
Bi 0.5000 0.5000 0.5000  6 Er 3.09-3.10
Se 0.0000 0.5000 0.0000  6 Er 2.84-2.87
Se 0.5000 0.0000 0.0000  6 Er 2.91-2.92

## Properties
Crystal system ... monoclinic
Symmetry ... P2/m, No. 10
E_tot ... -4.796 eV per atom
Density of states at the Fermi level ... 0.487 states/eV/atom

=====

BeCrCoTe2: relaxed, PBE.

Lattice parameters (Å, degrees): 4.9566 4.9566 3.8486 90.00 90.00 90.00
Closest atoms and distances in Å follow each position.
Sites, in units of the cell vectors:
Be 0.0000 0.0000 0.0000  2 Co 1.92
Cr 0.5000 0.5000 0.0000  8 Te 3.14, 4 Be 3.50
Co 0.0000 0.0000 0.5000  2 Be 1.92
Te 0.0000 0.5000 0.5000  2 Co 2.48
Te 0.5000 0.0000 0.5000  2 Co 2.48

## Properties
Crystal system ... tetragonal
Symmetry ... P4/mmm, No. 123
E_tot ... -4.447 eV per atom
Density of states at the Fermi level ... 1.098 states/eV/atom

=====

What uncorrected formation energy values result from the calculations? In sequence: -1.121 0.901 eV per atom.